# 1
Material: MoINO2
Method: DFT, GGA+U
State: relaxed

Computed properties:
Calculated volume in A^3/atom: 17.764

Cell and atoms, written as CIF:
```
data_MoINO2
_cell_length_a 3.8471
_cell_length_b 3.8471
_cell_length_c 6.0014
_cell_angle_alpha 90.00
_cell_angle_beta 90.00
_cell_angle_gamma 90.00
_symmetry_space_group_name_H-M 'P 1'
_symmetry_Int_Tables_number 1
loop_
_symmetry_equiv_pos_as_xyz
'x,y,z'
loop_
_atom_site_label
_atom_site_fract_x
_atom_site_fract_y
_atom_site_fract_z
I1 0.0000 0.0000 0.5000
Mo1 0.0000 0.0000 0.0000
O1 0.5000 0.0000 0.0000
N1 0.5000 0.5000 0.5000
O2 0.0000 0.5000 0.0000
```

# 2
Material: MoINO2
Method: DFT, GGA+U
State: relaxed

Computed properties:
Calculated volume in A^3/atom: 13.878

Cell and atoms, written as CIF:
```
data_MoINO2
_cell_length_a 3.8626
_cell_length_b 3.8626
_cell_length_c 4.6510
_cell_angle_alpha 90.00
_cell_angle_beta 90.00
_cell_angle_gamma 90.00
_symmetry_space_group_name_H-M 'P 1'
_symmetry_Int_Tables_number 1
loop_
_symmetry_equiv_pos_as_xyz
'x,y,z'
loop_
_atom_site_label
_atom_site_fract_x
_atom_site_fract_y
_atom_site_fract_z
I1 0.5000 0.5000 0.5000
O1 0.5000 0.0000 0.0000
O2 0.0000 0.5000 0.0000
N1 0.0000 0.0000 0.5000
Mo1 0.0000 0.0000 0.0000
```

no.,calculated total energy (eV/cell)
1,-25.839
2,-26.673